Here is Sr2Tc2Se after structural relaxation from Alexandria. Energies are from PBE-GGA.

abc: 6.126 6.126 7.398
angles: 90.00 90.00 90.00
Space group I4/mmm (No. 139)
Symmetry-distinct sites (fractional):
Sr: 0.000 0.500 0.250
Tc: 0.000 0.000 0.149
Se: 0.000 0.000 0.500

- ΔE to the lowest computed polymorph (eV per atom) = 0.2687
- VASP energy (eV/atom) = -5.047
- crystal system = tetragonal
- uncorrected formation energy (eV per atom) = 0.469
- mass density (Mg/m³) = 5.38